## i
Compound: GdTmMn2
Source: the Alexandria database
Functional: PBE-GGA
Structure: relaxed

DOS(E_F)   1.223 states/eV per atom
V   86 Å³/cell

Lattice parameters (Å, degrees): 5.026 5.026 3.392 90.00 90.00 90.00
Space group P4/mmm (No. 123)
Inequivalent atoms, fractional coordinates:
Gd1 0.000 0.000 0.000
Tm1 0.500 0.500 0.000
Mn1 0.000 0.500 0.500

## ii
Compound: GdTmMn2
Source: the Alexandria database
Functional: PBE-GGA
Structure: relaxed

DOS(E_F)   0.867 states/eV per atom
V   347 Å³/cell

Lattice parameters (Å, degrees): 7.025 7.025 7.025 90.00 90.00 90.00
Space group Fm-3m (No. 225)
Inequivalent atoms, fractional coordinates:
Gd1 0.000 0.000 0.000
Tm1 0.000 0.000 0.500
Mn1 0.250 0.250 0.250

Which one sits at the bottom of the stability order? ii does.

## i
Compound: Gd2TmMn
Source: the Alexandria database
Functional: PBE-GGA
Structure: relaxed

DOS(E_F)   1.709 states/eV per atom
V   108 Å³/cell

Lattice parameters (Å, degrees): 3.528 3.528 8.665 90.00 90.00 90.00
Space group P4/mmm (No. 123)
Inequivalent atoms, fractional coordinates:
Gd1 0.000 0.000 0.205
Tm1 0.500 0.500 0.500
Mn1 0.500 0.500 0.000

## ii
Compound: Gd2TmMn
Source: the Alexandria database
Functional: PBE-GGA
Structure: relaxed

DOS(E_F)   1.602 states/eV per atom
V   107 Å³/cell

Lattice parameters (Å, degrees): 4.788 4.788 4.671 90.00 90.00 90.00
Space group P4/mmm (No. 123)
Inequivalent atoms, fractional coordinates:
Gd1 0.000 0.500 0.000
Tm1 0.000 0.000 0.500
Mn1 0.500 0.500 0.500

Which one sits at the bottom of the stability order? ii does.

## i
Compound: GdUMn2
Source: the Alexandria database
Functional: PBE-GGA
Structure: relaxed

DOS(E_F)   1.194 states/eV per atom
V   219 Å³/cell

Lattice parameters (Å, degrees): 3.2529 3.2529 23.9397 90.00 90.00 120.00
Space group R-3m (No. 166, hexagonal axes)
Inequivalent atoms, fractional coordinates:
Gd1 0.0000 0.0000 0.0000
U1 0.0000 0.0000 0.5000
Mn1 0.0000 0.0000 0.2342

## ii
Compound: GdUMn2
Source: the Alexandria database
Functional: PBE-GGA
Structure: relaxed

DOS(E_F)   1.445 states/eV per atom
V   75 Å³/cell

Lattice parameters (Å, degrees): 3.284 3.284 6.981 90.00 90.00 90.00
Space group P4/mmm (No. 123)
Inequivalent atoms, fractional coordinates:
Gd1 0.000 0.000 0.000
U1 0.000 0.000 0.500
Mn1 0.500 0.500 0.308

Which one sits at the bottom of the stability order? i does.